[1]
Entry from the Alexandria database: a PBEsol-optimized structure of Hg2BSbAu (meta-GGA SCAN).

Properties
crystal system	tetragonal
energy relative to the elements, uncorrected	1284.7	meV/atom
space-group type	P4/mmm (123)

Lattice parameters (Å, degrees): 5.5521 5.5521 5.1091 90.00 90.00 90.00
Last column: nearest neighbours and their distance in Å.
Atoms (fractional coordinates):
Hg: 0.0000 0.5000 0.0000  2 Sb 2.78
Hg: 0.5000 0.0000 0.0000  2 Sb 2.78
B: 0.0000 0.0000 0.5000  8 Hg 3.77, 4 Au 3.93
Sb: 0.5000 0.5000 0.0000  2 Au 2.55, 4 Hg 2.78
Au: 0.5000 0.5000 0.5000  2 Sb 2.55

[2]
Entry from the Alexandria database: a PBEsol-optimized structure of Zr3ScH (meta-GGA SCAN).

Properties
energy	-110.44	eV per cell
crystal system	cubic
space-group type	Pm-3m (221)

Lattice parameters (Å, degrees): 4.4832 4.4832 4.4832 90.00 90.00 90.00
Last column: nearest neighbours and their distance in Å.
Atoms (fractional coordinates):
Zr: 0.0000 0.0000 0.5000  2 H 2.24
Zr: 0.0000 0.5000 0.0000  2 H 2.24
Zr: 0.5000 0.0000 0.0000  2 H 2.24
Sc: 0.5000 0.5000 0.5000  12 Zr 3.17
H: 0.0000 0.0000 0.0000  6 Zr 2.24

[3]
Entry from the Alexandria database: a PBEsol-optimized structure of MoPSe4 (meta-GGA SCAN).

Properties
crystal system	cubic
energy relative to the elements, uncorrected	1281.0	meV/atom
space-group type	F-43m (216)

Lattice parameters (Å, degrees): 5.4410 5.4410 5.4410 60.00 60.00 60.00
Last column: nearest neighbours and their distance in Å.
Atoms (fractional coordinates):
Mo: 0.0000 0.0000 0.0000  12 Se 3.19, 4 P 3.33
P: 0.7500 0.7500 0.7500  12 Se 3.19, 4 Mo 3.33
Se: 0.3742 0.3742 0.3742  6 Se 2.70-2.74
Se: 0.3742 0.3742 0.8775  6 Se 2.70-2.74
Se: 0.3742 0.8775 0.3742  6 Se 2.70-2.74
Se: 0.8775 0.3742 0.3742  6 Se 2.70-2.74

[4]
Entry from the Alexandria database: a PBEsol-optimized structure of HfGaCu2O (meta-GGA SCAN).

Properties
crystal system	tetragonal
energy relative to the elements, uncorrected	703.7	meV/atom
space-group type	P4/mmm (123)

Lattice parameters (Å, degrees): 4.1781 4.1781 5.1022 90.00 90.00 90.00
Last column: nearest neighbours and their distance in Å.
Atoms (fractional coordinates):
Hf: 0.0000 0.0000 0.0000  2 Ga 2.55
Ga: 0.0000 0.0000 0.5000  4 Cu 2.09
Cu: 0.0000 0.5000 0.5000  2 Ga 2.09
Cu: 0.5000 0.0000 0.5000  2 Ga 2.09
O: 0.5000 0.5000 0.0000  4 Hf 2.95, 8 Cu 3.30

[5]
Entry from the Alexandria database: a PBEsol-optimized structure of Fe2P (meta-GGA SCAN).

Properties
crystal system	hexagonal
DFT formation energy	-0.387	eV/atom
space-group type	P-62m (189)

Lattice parameters (Å, degrees): 5.6205 5.6205 3.4305 90.00 90.00 120.00
Last column: nearest neighbours and their distance in Å.
Atoms (fractional coordinates):
Fe: 0.0000 0.2572 0.0000  4 P 2.12-2.24
Fe: 0.0000 0.5978 0.5000  5 P 2.26-2.42
Fe: 0.2572 0.0000 0.0000  4 P 2.12-2.24
Fe: 0.4022 0.4022 0.5000  5 P 2.26-2.42
Fe: 0.5978 0.0000 0.5000  5 P 2.26-2.42
Fe: 0.7428 0.7428 0.0000  4 P 2.12-2.24
P: 0.0000 0.0000 0.5000  9 Fe 2.24-2.26
P: 0.3333 0.6667 0.0000  3 Fe 2.12
P: 0.6667 0.3333 0.0000  3 Fe 2.12

[6]
Entry from the Alexandria database: a PBEsol-optimized structure of Bi17W3O33 (meta-GGA SCAN).

Properties
crystal system	triclinic
energy relative to the elements, uncorrected	-1352.9	meV/atom
space-group type	P1 (1)

Lattice parameters (Å, degrees): 10.0010 10.1577 10.3172 109.87 114.40 102.18
Last column: nearest neighbours and their distance in Å.
Atoms (fractional coordinates):
Bi: 0.0000 0.0000 0.0000  5 O 2.24-2.40
Bi: 0.0218 0.9211 0.3307  7 O 2.31-2.52
Bi: 0.0909 0.7874 0.6954  3 O 2.14-2.22
Bi: 0.1763 0.6230 0.3793  4 O 2.20-2.38
Bi: 0.2371 0.5231 0.7658  4 O 2.14-2.36
Bi: 0.2928 0.4132 0.1097  4 O 2.20-2.27
Bi: 0.3569 0.3080 0.4651  5 O 2.27-2.47
Bi: 0.3913 0.2162 0.7963  7 O 2.32-2.58
Bi: 0.4192 0.1085 0.1222  4 O 2.21-2.45
Bi: 0.4689 0.0000 0.4865  4 O 2.23-2.29
Bi: 0.5112 0.8795 0.7987  4 O 2.23-2.42
Bi: 0.5852 0.8156 0.2038  4 O 2.19-2.31
Bi: 0.6662 0.5957 0.8997  6 O 2.27-2.49
Bi: 0.7229 0.5180 0.2462  5 O 2.27-2.42
Bi: 0.7642 0.3627 0.5655  2 O 2.15-2.33
Bi: 0.8191 0.2782 0.9561  5 O 2.28-2.45
Bi: 0.9535 0.1166 0.6635  2 O 2.19-2.32
W: 0.0979 0.6994 0.0390  4 O 1.83-2.01
W: 0.6218 0.7077 0.5224  4 O 1.82-1.88
W: 0.8885 0.2062 0.2795  6 O 1.86-2.02
O: 0.0281 0.3296 0.5025  1 W 1.86
O: 0.0328 0.9784 0.7773  3 Bi 2.14-2.40
O: 0.0451 0.7504 0.4534  3 Bi 2.20-2.47
O: 0.0551 0.1293 0.2646  1 W 2.02
O: 0.1769 0.8906 0.0255  1 W 2.01
O: 0.2032 0.3229 0.8449  4 Bi 2.24-2.50
O: 0.2098 0.8245 0.2915  1 W 2.10, 1 Bi 2.29
O: 0.2398 0.1979 0.1360  3 Bi 2.21-2.27
O: 0.2686 0.6486 0.6272  3 Bi 2.23-2.40
O: 0.2808 0.6698 0.0683  1 W 1.83
O: 0.3099 0.1123 0.5240  3 Bi 2.23-2.32
O: 0.3325 0.9708 0.8195  2 Bi 2.21-2.23
O: 0.3946 0.4206 0.7320  3 Bi 2.14-2.38
O: 0.4437 0.5211 0.4139  1 W 1.87
O: 0.4476 0.7955 0.5301  1 W 2.13, 3 Bi 2.26-2.35
O: 0.4686 0.3207 0.0949  3 Bi 2.20-2.32
O: 0.4955 0.1900 0.3791  3 Bi 2.21-2.33
O: 0.4973 0.7252 0.9444  3 Bi 2.20-2.44
O: 0.5372 0.6129 0.2516  3 Bi 2.27-2.28, 1 W 2.31
O: 0.5643 0.0979 0.7532  4 Bi 2.25-2.42
O: 0.6204 0.4080 0.6686  3 Bi 2.15-2.29
O: 0.6569 0.4040 0.9739  4 Bi 2.29-2.37
O: 0.6965 0.7662 0.7354  1 W 1.82
O: 0.6982 0.8847 0.5084  1 W 1.88
O: 0.7162 0.2525 0.2785  1 W 1.88
O: 0.7568 0.7169 0.1920  3 Bi 2.19-2.43
O: 0.7691 0.0987 0.0356  1 W 2.01
O: 0.7769 0.6359 0.5197  1 W 1.85
O: 0.8062 0.0215 0.2817  1 W 1.89
O: 0.9428 0.7992 0.0603  1 W 2.07, 1 Bi 2.31
O: 0.9591 0.3776 0.2377  1 W 1.99
O: 0.9785 0.5855 0.8170  1 W 1.84
O: 0.9959 0.5464 0.0682  1 W 1.86

Ordered total moment results: 1.0; 0.0; 2.2; 0.0; 3.1; 1.0; unit μB per formula unit.